# 1
Compound: Pm2AlIr2
Source: Alexandria
Functional: PBE
Structure: optimized geometry

abc: 5.793 5.793 7.769
angles: 101.56 101.56 58.40
Fractional positions:
Pm1 0.004 0.289 0.147
Pm2 0.289 0.004 0.647
Pm3 0.711 0.996 0.353
Pm4 0.996 0.711 0.853
Al1 0.385 0.615 0.250
Al2 0.615 0.385 0.750
Ir1 0.227 0.504 0.493
Ir2 0.496 0.773 0.007
Ir3 0.504 0.227 0.993
Ir4 0.773 0.496 0.507

Output
SG	No. 15
ΔH_f (0 K)	-825	meV per atom
total energy	-7.018	eV/atom
calculated volume	21.61	Å³/atom

***

# 2
Compound: BaFe2Cl
Source: Alexandria
Functional: PBE
Structure: optimized geometry

abc: 3.540 4.576 6.233
angles: 90.00 90.00 90.00
Fractional positions:
Ba1 0.000 0.000 0.000
Fe1 0.000 0.500 0.500
Fe2 0.500 0.000 0.500
Cl1 0.500 0.500 0.000

Output
SG	No. 47
total energy	-4.896	eV/atom
calculated volume	25.24	Å³/atom
formation energy (no corrections)	1.11	eV/f.u.

***

# 3
Compound: KScTa2
Source: Alexandria
Functional: PBE
Structure: optimized geometry

abc: 6.183 6.183 2.784
angles: 90.00 90.00 122.93
Fractional positions:
K1 0.000 0.000 0.000
Sc1 0.500 0.500 0.000
Ta1 0.000 0.500 0.500
Ta2 0.500 0.000 0.500

Output
SG	No. 65
ΔH_f (0 K)	1119	meV per atom
total energy	-6.664	eV/atom
calculated volume	22.33	Å³/atom

***

# 4
Compound: GdCuPt2
Source: Alexandria
Functional: PBE
Structure: optimized geometry

abc: 5.260 5.260 5.260
angles: 49.27 49.27 49.27
Fractional positions:
Gd1 0.000 0.000 0.000
Cu1 0.500 0.500 0.500
Pt1 0.211 0.211 0.211
Pt2 0.789 0.789 0.789

Output
SG	No. 166
ΔH_f (0 K)	-727	meV per atom
total energy	-8.292	eV/atom
calculated volume	19.19	Å³/atom

***

# 5
Compound: Ba4GaHg2
Source: Alexandria
Functional: PBE
Structure: optimized geometry

abc: 10.254 10.254 10.254
angles: 33.47 33.47 33.47
Fractional positions:
Ba1 0.121 0.121 0.121
Ba2 0.372 0.372 0.372
Ba3 0.628 0.628 0.628
Ba4 0.879 0.879 0.879
Ga1 0.000 0.000 0.000
Hg1 0.249 0.249 0.249
Hg2 0.751 0.751 0.751

Output
SG	No. 166
ΔH_f (0 K)	-375	meV per atom
total energy	-1.992	eV/atom
calculated volume	41.73	Å³/atom

***

# 6
Compound: Pm5Ni4Ag
Source: Alexandria
Functional: PBE
Structure: optimized geometry

abc: 3.499 3.499 17.883
angles: 90.00 90.00 90.00
Fractional positions:
Pm1 0.000 0.000 0.000
Pm2 0.000 0.000 0.193
Pm3 0.000 0.000 0.384
Pm4 0.000 0.000 0.616
Pm5 0.000 0.000 0.807
Ni1 0.500 0.500 0.095
Ni2 0.500 0.500 0.291
Ni3 0.500 0.500 0.709
Ni4 0.500 0.500 0.905
Ag1 0.500 0.500 0.500

Output
SG	No. 123
ΔH_f (0 K)	-258	meV per atom
total energy	-5.231	eV/atom
calculated volume	21.89	Å³/atom

***

# 7
Compound: Tb3Nd2ErTe6
Source: Alexandria
Functional: PBE
Structure: optimized geometry

abc: 9.848 9.848 8.867
angles: 102.37 102.37 25.66
Fractional positions:
Tb1 0.000 0.000 0.000
Tb2 0.326 0.326 0.666
Tb3 0.674 0.674 0.334
Nd1 0.329 0.329 0.164
Nd2 0.671 0.671 0.836
Er1 0.000 0.000 0.500
Te1 0.162 0.162 0.088
Te2 0.162 0.162 0.573
Te3 0.497 0.497 0.745
Te4 0.503 0.503 0.255
Te5 0.838 0.838 0.427
Te6 0.838 0.838 0.912

Output
SG	No. 12
total energy	-5.236	eV/atom
calculated volume	30.27	Å³/atom
formation energy (no corrections)	-15.99	eV/f.u.

***

# 8
Compound: Fe2Cu2Ni15
Source: Alexandria
Functional: PBE
Structure: optimized geometry

abc: 6.158 6.158 6.158
angles: 81.33 81.33 81.33
Fractional positions:
Fe1 0.096 0.096 0.096
Fe2 0.904 0.904 0.904
Cu1 0.325 0.325 0.325
Cu2 0.675 0.675 0.675
Ni1 0.000 0.000 0.500
Ni2 0.000 0.311 0.689
Ni3 0.000 0.500 0.000
Ni4 0.000 0.689 0.311
Ni5 0.158 0.653 0.653
Ni6 0.311 0.000 0.689
Ni7 0.311 0.689 0.000
Ni8 0.347 0.347 0.842
Ni9 0.347 0.842 0.347
Ni10 0.500 0.000 0.000
Ni11 0.653 0.158 0.653
Ni12 0.653 0.653 0.158
Ni13 0.689 0.000 0.311
Ni14 0.689 0.311 0.000
Ni15 0.842 0.347 0.347

Output
SG	No. 166
ΔH_f (0 K)	177	meV per atom
total energy	-5.709	eV/atom
calculated volume	11.91	Å³/atom

***

# 9
Compound: SrCu5Se4
Source: Alexandria
Functional: PBE
Structure: optimized geometry

abc: 8.103 9.802 5.051
angles: 90.00 90.00 90.00
Fractional positions:
Sr1 0.250 0.250 0.028
Sr2 0.750 0.750 0.972
Cu1 0.014 0.534 0.248
Cu2 0.014 0.966 0.248
Cu3 0.250 0.750 0.266
Cu4 0.486 0.534 0.248
Cu5 0.486 0.966 0.248
Cu6 0.514 0.034 0.752
Cu7 0.514 0.466 0.752
Cu8 0.750 0.250 0.734
Cu9 0.986 0.034 0.752
Cu10 0.986 0.466 0.752
Se1 0.017 0.250 0.516
Se2 0.250 0.557 0.939
Se3 0.250 0.943 0.939
Se4 0.483 0.250 0.516
Se5 0.517 0.750 0.484
Se6 0.750 0.057 0.061
Se7 0.750 0.443 0.061
Se8 0.983 0.750 0.484

Output
SG	No. 59
total energy	-3.987	eV/atom
calculated volume	20.06	Å³/atom
formation energy (no corrections)	-3.77	eV/f.u.

***

# 10
Compound: PuCdRu
Source: Alexandria
Functional: PBE
Structure: optimized geometry

abc: 8.404 8.404 4.781
angles: 90.00 90.00 158.57
Fractional positions:
Pu1 0.082 0.918 0.750
Pu2 0.918 0.082 0.250
Cd1 0.217 0.783 0.250
Cd2 0.783 0.217 0.750
Ru1 0.436 0.564 0.750
Ru2 0.564 0.436 0.250

Output
SG	No. 63
ΔH_f (0 K)	-78	meV per atom
total energy	-8.252	eV/atom
calculated volume	20.56	Å³/atom

***

# 11
Compound: TmCdSnHg
Source: Alexandria
Functional: PBE
Structure: optimized geometry

abc: 5.183 5.183 5.183
angles: 60.00 60.00 60.00
Fractional positions:
Tm1 0.000 0.000 0.000
Cd1 0.500 0.500 0.500
Sn1 0.250 0.250 0.250
Hg1 0.750 0.750 0.750

Output
SG	No. 216
ΔH_f (0 K)	-226	meV per atom
total energy	-2.649	eV/atom
calculated volume	24.61	Å³/atom

***

# 12
Compound: HoZnPt2
Source: Alexandria
Functional: PBE
Structure: optimized geometry

abc: 3.487 3.487 5.901
angles: 90.00 90.00 90.00
Fractional positions:
Ho1 0.000 0.000 0.000
Zn1 0.000 0.000 0.500
Pt1 0.500 0.500 0.270
Pt2 0.500 0.500 0.730

Output
SG	No. 123
ΔH_f (0 K)	-913	meV per atom
total energy	-5.397	eV/atom
calculated volume	17.93	Å³/atom

***

# 13
Compound: KTe2Pb
Source: Alexandria
Functional: PBE
Structure: optimized geometry

abc: 9.713 9.713 9.713
angles: 25.73 25.73 25.73
Fractional positions:
K1 0.000 0.000 0.000
Te1 0.499 0.499 0.499
Te2 0.750 0.750 0.750
Pb1 0.227 0.227 0.227

Output
SG	No. 160
total energy	-2.965	eV/atom
calculated volume	38.01	Å³/atom
formation energy (no corrections)	-0.77	eV/f.u.

***

# 14
Compound: TaAlFe2H
Source: Alexandria
Functional: PBE
Structure: optimized geometry

abc: 3.874 3.874 3.689
angles: 90.00 90.00 90.00
Fractional positions:
Ta1 0.000 0.000 0.000
Al1 0.500 0.500 0.000
Fe1 0.000 0.500 0.500
Fe2 0.500 0.000 0.500
H1 0.000 0.000 0.500

Output
SG	No. 123
total energy	-7.248	eV/atom
calculated volume	11.07	Å³/atom

***

# 15
Compound: NaSr2RhPb
Source: Alexandria
Functional: PBE
Structure: optimized geometry

abc: 5.868 5.868 5.281
angles: 90.00 90.00 90.00
Fractional positions:
Na1 0.000 0.000 0.000
Sr1 0.000 0.500 0.500
Sr2 0.500 0.000 0.500
Rh1 0.500 0.500 0.500
Pb1 0.500 0.500 0.000

Output
SG	No. 123
ΔH_f (0 K)	-247	meV per atom
total energy	-3.395	eV/atom
calculated volume	36.37	Å³/atom

***

# 16
Compound: Ta2CrCl
Source: Alexandria
Functional: PBE
Structure: optimized geometry

abc: 4.603 4.603 3.044
angles: 90.00 90.00 100.98
Fractional positions:
Ta1 0.000 0.500 0.000
Ta2 0.500 0.000 0.000
Cr1 0.000 0.000 0.500
Cl1 0.500 0.500 0.500

Output
SG	No. 65
total energy	-8.179	eV/atom
calculated volume	15.83	Å³/atom
formation energy (no corrections)	2.46	eV/f.u.

***

# 17
Compound: BeGa3Si
Source: Alexandria
Functional: PBE
Structure: optimized geometry

abc: 4.804 4.804 4.804
angles: 90.00 90.00 90.00
Fractional positions:
Be1 0.000 0.000 0.000
Ga1 0.000 0.500 0.500
Ga2 0.500 0.000 0.500
Ga3 0.500 0.500 0.000
Si1 0.500 0.500 0.500

Output
SG	No. 221
total energy	-2.824	eV/atom
calculated volume	22.17	Å³/atom
formation energy (no corrections)	4.11	eV/f.u.

***

# 18
Compound: BaHfCr2Os
Source: Alexandria
Functional: PBE
Structure: optimized geometry

abc: 4.797 4.797 5.069
angles: 90.00 90.00 90.00
Fractional positions:
Ba1 0.000 0.000 0.000
Hf1 0.500 0.500 0.500
Cr1 0.000 0.500 0.000
Cr2 0.500 0.000 0.000
Os1 0.000 0.000 0.500

Output
SG	No. 123
ΔH_f (0 K)	2504	meV per atom
total energy	-5.966	eV/atom
calculated volume	23.33	Å³/atom

***

# 19
Compound: Gd2GaTc
Source: Alexandria
Functional: PBE
Structure: optimized geometry

abc: 4.994 4.994 4.994
angles: 60.00 60.00 60.00
Fractional positions:
Gd1 0.250 0.250 0.250
Gd2 0.750 0.750 0.750
Ga1 0.000 0.000 0.000
Tc1 0.500 0.500 0.500

Output
SG	No. 225
ΔH_f (0 K)	-197	meV per atom
total energy	-10.585	eV/atom
calculated volume	22.02	Å³/atom

***

# 20
Compound: BaFeAg2
Source: Alexandria
Functional: PBE
Structure: optimized geometry

abc: 6.041 6.041 6.041
angles: 147.09 127.45 63.41
Fractional positions:
Ba1 0.000 0.000 0.000
Fe1 0.500 0.500 0.000
Ag1 0.294 0.794 0.500
Ag2 0.706 0.206 0.500

Output
SG	No. 71
ΔH_f (0 K)	440	meV per atom
total energy	-3.582	eV/atom
calculated volume	23.52	Å³/atom

***

# 21
Compound: LaPr12Tm3
Source: Alexandria
Functional: PBE
Structure: optimized geometry

abc: 5.193 5.193 20.791
angles: 90.00 90.00 90.00
Fractional positions:
La1 0.000 0.000 0.000
Pr1 0.000 0.500 0.129
Pr2 0.000 0.500 0.376
Pr3 0.000 0.500 0.624
Pr4 0.000 0.500 0.871
Pr5 0.500 0.000 0.129
Pr6 0.500 0.000 0.376
Pr7 0.500 0.000 0.624
Pr8 0.500 0.000 0.871
Pr9 0.500 0.500 0.000
Pr10 0.500 0.500 0.254
Pr11 0.500 0.500 0.500
Pr12 0.500 0.500 0.746
Tm1 0.000 0.000 0.252
Tm2 0.000 0.000 0.500
Tm3 0.000 0.000 0.748

Output
SG	No. 123
ΔH_f (0 K)	14	meV per atom
total energy	-4.717	eV/atom
calculated volume	35.04	Å³/atom

***

# 22
Compound: NaSrTi2
Source: Alexandria
Functional: PBE
Structure: optimized geometry

abc: 12.009 12.009 12.009
angles: 157.75 157.75 31.67
Fractional positions:
Na1 0.375 0.625 0.750
Na2 0.625 0.375 0.250
Sr1 0.125 0.875 0.250
Sr2 0.875 0.125 0.750
Ti1 0.000 0.500 0.500
Ti2 0.500 0.000 0.000
Ti3 0.500 0.500 0.000
Ti4 0.500 0.500 0.500

Output
SG	No. 141
ΔH_f (0 K)	1062	meV per atom
total energy	-3.635	eV/atom
calculated volume	31.02	Å³/atom

***

# 23
Compound: TeRhBr2
Source: Alexandria
Functional: PBE
Structure: optimized geometry

abc: 5.015 5.015 5.015
angles: 60.00 60.00 60.00
Fractional positions:
Te1 0.000 0.000 0.000
Rh1 0.500 0.500 0.500
Br1 0.250 0.250 0.250
Br2 0.750 0.750 0.750

Output
SG	No. 225
total energy	-2.743	eV/atom
calculated volume	22.29	Å³/atom
formation energy (no corrections)	2.87	eV/f.u.

***

# 24
Compound: Y2TeSe2
Source: Alexandria
Functional: PBE
Structure: optimized geometry

abc: 7.603 7.603 7.603
angles: 147.58 136.13 55.59
Fractional positions:
Y1 0.166 0.166 0.000
Y2 0.834 0.834 0.000
Te1 0.000 0.500 0.500
Se1 0.308 0.808 0.500
Se2 0.692 0.192 0.500

Output
SG	No. 71
total energy	-6.344	eV/atom
calculated volume	32.43	Å³/atom
formation energy (no corrections)	-8.68	eV/f.u.

***

# 25
Compound: K2CoP
Source: Alexandria
Functional: PBE
Structure: optimized geometry

abc: 3.843 6.251 6.251
angles: 50.00 90.00 90.00
Fractional positions:
K1 0.000 0.000 0.000
K2 0.500 0.296 0.296
Co1 0.500 0.616 0.616
P1 0.000 0.694 0.694

Output
SG	No. 38
ΔH_f (0 K)	-32	meV per atom
total energy	-3.709	eV/atom
calculated volume	28.77	Å³/atom

***

# 26
Compound: Mn2CdCoN
Source: Alexandria
Functional: PBE
Structure: optimized geometry

abc: 4.352 4.352 4.809
angles: 90.00 90.00 90.00
Fractional positions:
Mn1 0.000 0.500 0.000
Mn2 0.500 0.000 0.000
Cd1 0.000 0.000 0.500
Co1 0.000 0.000 0.000
N1 0.500 0.500 0.500

Output
SG	No. 123
total energy	-5.255	eV/atom
calculated volume	18.22	Å³/atom
formation energy (no corrections)	8.41	eV/f.u.